A geometry-optimized Ce2YHoBi5 structure. Source: Alexandria via LeMat-Bulk, functional PBE.

Properties
DFT formation energy: -0.120 eV/atom
Theoretical density: 7.5 Mg/m³
Density of states at the Fermi level: 17.90 states/eV/cell
E: -43.4 eV/f.u.

a = 5.447 Å, b = 5.447 Å, c = 11.828 Å
α = 90.00°, β = 90.00°, γ = 90.00°
Fractional positions:
Ce1 0.500 0.500 0.284
Ce2 0.500 0.500 0.716
Bi1 0.500 0.500 0.000
Bi2 0.000 0.500 0.500
Bi3 0.500 0.000 0.500
Bi4 0.000 0.000 0.247
Bi5 0.000 0.000 0.753
Y1 0.000 0.000 0.000
Ho1 0.000 0.000 0.500

=====

A geometry-optimized Mg3ZnO4 structure. Source: Alexandria via LeMat-Bulk, functional PBE.

Properties
ΔE_f (raw): -18.84 eV per formula unit
Theoretical density: 4.3 Mg/m³
Offset from the most stable computed form: 0.0019 eV per atom
Density of states at the Fermi level: 0.00 states/eV/cell
E: -44.7 eV/f.u.

a = 3.026 Å, b = 3.026 Å, c = 8.553 Å
α = 90.00°, β = 90.00°, γ = 90.00°
Fractional positions:
O1 0.000 0.000 0.747
O2 0.500 0.500 0.500
O3 0.500 0.500 0.000
O4 0.000 0.000 0.253
Mg1 0.500 0.500 0.250
Mg2 0.500 0.500 0.750
Mg3 0.000 0.000 0.500
Zn1 0.000 0.000 0.000

=====

A geometry-optimized Sc3RuBr3 structure. Source: Alexandria via LeMat-Bulk, functional PBE.

Properties
ΔE_f (raw): -8.21 eV per formula unit
Theoretical density: 4.5 Mg/m³
Density of states at the Fermi level: 6.45 states/eV/cell
E: -41.5 eV/f.u.

a = 3.847 Å, b = 8.077 Å, c = 11.417 Å
α = 92.96°, β = 90.00°, γ = 90.00°
Fractional positions:
Br1 0.750 0.570 0.631
Br2 0.250 0.866 0.892
Br3 0.250 0.430 0.369
Br4 0.750 0.663 0.142
Br5 0.250 0.337 0.858
Br6 0.750 0.134 0.108
Ru1 0.750 0.047 0.593
Ru2 0.250 0.953 0.407
Sc1 0.250 0.849 0.640
Sc2 0.250 0.260 0.607
Sc3 0.750 0.740 0.393
Sc4 0.250 0.903 0.181
Sc5 0.750 0.151 0.360
Sc6 0.750 0.097 0.819

=====

A geometry-optimized Pm3MgFe structure. Source: Alexandria via LeMat-Bulk, functional PBE.

Properties
DFT formation energy: 0.106 eV/atom
Theoretical density: 5.8 Mg/m³
Density of states at the Fermi level: 5.12 states/eV/cell
E: -23.8 eV/f.u.

a = 5.290 Å, b = 5.290 Å, c = 5.290 Å
α = 90.00°, β = 90.00°, γ = 90.00°
Fractional positions:
Pm1 0.000 0.500 0.000
Pm2 0.500 0.000 0.000
Pm3 0.000 0.000 0.500
Mg1 0.500 0.500 0.500
Fe1 0.000 0.000 0.000

=====

A geometry-optimized LaMo structure. Source: Alexandria via LeMat-Bulk, functional PBE.

Properties
DFT formation energy: 0.379 eV/atom
Theoretical density: 7.7 Mg/m³
Offset from the most stable computed form: 0.1379 eV per atom
Density of states at the Fermi level: 4.63 states/eV/cell
E: -15.0 eV/f.u.

a = 3.322 Å, b = 4.216 Å, c = 7.515 Å
α = 90.00°, β = 73.80°, γ = 90.00°
Fractional positions:
La1 0.959 0.000 0.937
La2 0.291 0.500 0.313
Mo1 0.739 0.500 0.689
Mo2 0.511 0.000 0.561

=====

A geometry-optimized LaTb2In structure. Source: Alexandria via LeMat-Bulk, functional PBE.

Properties
DFT formation energy: -0.099 eV/atom
Theoretical density: 8.0 Mg/m³
Offset from the most stable computed form: 0.1624 eV per atom
Density of states at the Fermi level: 7.60 states/eV/cell
E: -17.3 eV/f.u.

a = 5.505 Å, b = 5.505 Å, c = 5.505 Å
α = 60.00°, β = 60.00°, γ = 60.00°
Fractional positions:
Tb1 0.750 0.750 0.750
Tb2 0.250 0.250 0.250
La1 0.000 0.000 0.000
In1 0.500 0.500 0.500